Entry from the Alexandria database: Pr2Sm3Mg after structural relaxation (GGA-PBE).

For the spin magnetization, the calculation gives 0.000 μB/atom. The value obtained for the relative energy among the computed polymorphs is 0.1988 eV/atom. For the calculated total energy, the calculation gives -4.01 eV/atom. The calculation puts the formation enthalpy at 0 K at 121.3 kJ/mol of formula units.

The space group is Imm2 (No. 44) and the conventional cell measures 3.388, 17.917 and 6.684 Å, with angles of 90.00, 90.00 and 90.00 degrees. The asymmetric unit holds Pr at (0.000, 0.188, 0.000), Sm at (0.000, 0.138, 0.496), Sm at (0.000, 0.500, 0.712) and Mg at (0.000, 0.000, 0.784).